No. 1
# SrCrAg2

SrCrAg2 after structural relaxation (GGA-PBEsol, the Alexandria database).

Formation energy from the elements   307 meV/atom
Energy relative to the lowest polymorph listed for this composition   0.0 meV/atom
SG   R3m
Total energy   -4.369 eV/atom

Cell and atoms, written as POSCAR:
```
SrCrAg2
1.0
2.299 1.327 5.329
-2.299 1.327 5.329
0.000 -2.654 5.329
Sr Cr Ag
1 1 2
Direct
0.000 0.000 0.000
0.197 0.197 0.197
0.517 0.517 0.517
0.801 0.801 0.801
```

---

No. 2
# Ta2MnPb

Ta2MnPb after structural relaxation (GGA-PBEsol, the Alexandria database).

Formation energy from the elements   338 meV/atom
SG   P4mm
Total energy   -9.377 eV/atom

Cell and atoms, written as POSCAR:
```
Ta2MnPb
1.0
3.108 0.000 0.000
0.000 3.108 0.000
0.000 0.000 7.267
Ta Mn Pb
2 1 1
Direct
0.000 0.000 0.000
0.500 0.500 0.260
0.000 0.000 0.433
0.500 0.500 0.691
```

---

No. 3
# BiTeNO2

BiTeNO2 after structural relaxation (GGA-PBEsol, the Alexandria database).

SG   P4/mmm
Total energy   -5.412 eV/atom
Energy relative to the elements, uncorrected   -0.045 eV/atom

Cell and atoms, written as POSCAR:
```
BiTeNO2
1.0
4.112 0.000 0.000
0.000 4.112 0.000
0.000 0.000 4.277
Bi Te N O
1 1 1 2
Direct
0.000 0.000 0.000
0.500 0.500 0.500
0.500 0.500 0.000
0.000 0.500 0.500
0.500 0.000 0.500
```

---

No. 4
# TaMoW2

TaMoW2 after structural relaxation (GGA-PBEsol, the Alexandria database).

Formation energy from the elements   -87 meV/atom
Energy relative to the lowest polymorph listed for this composition   26.9 meV/atom
SG   P4/mmm
Total energy   -13.070 eV/atom

Cell and atoms, written as POSCAR:
```
TaMoW2
1.0
3.169 0.000 0.000
0.000 3.169 0.000
0.000 0.000 6.364
Ta Mo W
1 1 2
Direct
0.000 0.000 0.000
0.000 0.000 0.500
0.500 0.500 0.256
0.500 0.500 0.744
```

---

No. 5
# Fe2ReBr

Fe2ReBr after structural relaxation (GGA-PBEsol, the Alexandria database).

Energy relative to the lowest polymorph listed for this composition   200.1 meV/atom
SG   Cmm2
Total energy   -7.526 eV/atom
Energy relative to the elements, uncorrected   0.756 eV/atom

Cell and atoms, written as POSCAR:
```
Fe2ReBr
1.0
1.448 -2.293 0.000
1.448 2.293 0.000
0.000 0.000 9.099
Fe Re Br
2 1 1
Direct
0.000 0.000 0.000
0.500 0.500 0.209
0.000 0.000 0.427
0.500 0.500 0.767
```

---

No. 6
# TaIrPt2

TaIrPt2 after structural relaxation (GGA-PBEsol, the Alexandria database).

Formation energy from the elements   -504 meV/atom
Energy relative to the lowest polymorph listed for this composition   133.2 meV/atom
SG   Pmm2
Total energy   -9.579 eV/atom

Cell and atoms, written as POSCAR:
```
TaIrPt2
1.0
2.788 0.000 0.000
0.000 3.904 0.000
0.000 0.000 5.587
Ta Ir Pt
1 1 2
Direct
0.000 0.000 0.000
0.500 0.500 0.242
0.000 0.000 0.492
0.500 0.500 0.743
```

---

- Which formula does entry 2 have?
  Ta2MnPb